[1]
NpCd2IrO8: relaxed, PBE-GGA.

Cell and atoms, written as POSCAR:
```
NpCd2IrO8
1.0
-4.9395 0.3652 1.1237
-0.9497 -2.3400 -4.3906
0.2580 -5.7213 2.9934
Np Cd Ir O
1 2 1 8
Cartesian
0.0000 0.0000 0.0000
-2.7533 -5.2305 0.5865
-2.8779 -2.4656 -0.8600
0.1290 -2.8606 1.4967
-1.5892 -3.3322 -2.6207
-4.2409 -1.4291 -2.3657
-4.1666 -1.6047 0.9034
-4.0420 -4.3640 2.3471
-1.3903 -6.2671 2.0922
-1.4646 -6.0915 -1.1769
-4.1774 -4.3116 -0.9054
-1.4538 -3.3845 0.6319
```

Uncorrected energy in eV per atom: -6.72
SG: P2/m (10)
ΔE_f (raw) in eV/f.u.: -17.39
Calculated density in g/cm³: 7.82
DOS at the Fermi energy in states/eV per cell: 8.09

=====

[2]
LiMg2CrH: relaxed, PBE-GGA.

Cell and atoms, written as POSCAR:
```
LiMg2CrH
1.0
-4.2932 2.3791 -0.6641
-2.1074 -3.1585 2.3082
0.7638 2.5451 4.1800
Cr Mg H Li
1 2 1 1
Cartesian
-1.0537 -1.5792 1.1541
0.3819 1.2725 2.0900
-2.1466 1.1896 -0.3321
-2.8184 0.8828 2.9120
0.0000 0.0000 0.0000
```

Uncorrected energy in eV per atom: -2.53
SG: P4/mmm (123)
Calculated density in g/cm³: 1.65
DOS at the Fermi energy in states/eV per cell: 2.50

=====

[3]
SrPr2Cu: relaxed, PBE-GGA.

Cell and atoms, written as POSCAR:
```
SrPr2Cu
1.0
3.9072 0.0000 0.0000
1.9536 3.3837 0.0000
1.9536 1.1279 11.1878
Pr Sr Cu
2 1 1
Cartesian
1.9536 1.1279 7.4322
5.8607 3.3837 3.7556
0.0000 0.0000 0.0000
3.9072 2.2558 5.5939
```

Energy above the most stable polymorph in this dataset in eV per atom: 0.1703
Uncorrected energy in eV per atom: -3.63
SG: R-3m (166)
Calculated density in g/cm³: 4.86
DOS at the Fermi energy in states/eV per cell: 6.03
Formation energy from the elements in eV per atom: 0.2061

=====

[4]
Y3PdW: relaxed, PBE-GGA.

Cell and atoms, written as POSCAR:
```
Y3PdW
1.0
5.3407 0.0000 0.0000
0.0000 5.3407 0.0000
0.0000 0.0000 5.3407
Y Pd W
3 1 1
Cartesian
0.0000 2.6703 0.0000
0.0000 0.0000 2.6703
2.6703 0.0000 0.0000
2.6703 2.6703 2.6703
0.0000 0.0000 0.0000
```

Energy above the most stable polymorph in this dataset in eV per atom: 0.0000
Uncorrected energy in eV per atom: -6.90
SG: Pm-3m (221)
Calculated density in g/cm³: 6.07
DOS at the Fermi energy in states/eV per cell: 4.66
Formation energy from the elements in eV per atom: 0.6027

=====

[5]
Ba2BeTeSe: relaxed, PBE-GGA.

Cell and atoms, written as POSCAR:
```
Ba2BeTeSe
1.0
6.3158 0.0000 0.0000
0.0000 4.3680 0.0000
0.0000 0.0000 6.3158
Be Te Ba Se
1 1 2 1
Cartesian
0.0000 2.1840 0.0000
3.1579 2.1840 3.1579
0.0000 0.0000 3.1579
3.1579 0.0000 0.0000
0.0000 0.0000 0.0000
```

Uncorrected energy in eV per atom: -3.66
SG: P4/mmm (123)
ΔE_f (raw) in eV/f.u.: -4.09
Calculated density in g/cm³: 4.67
DOS at the Fermi energy in states/eV per cell: 3.38

=====

[6]
Tm8Mg2Rh: relaxed, PBE-GGA.

Cell and atoms, written as POSCAR:
```
Tm8Mg2Rh
1.0
5.4196 0.0000 0.0000
0.0000 6.9353 -0.0713
-2.7098 -3.0762 8.0146
Tm Mg Rh
8 2 1
Cartesian
0.0000 1.6669 6.3268
2.7098 5.5290 2.2470
2.7098 3.3095 4.8891
2.7098 -1.4214 7.7660
0.0000 0.5496 3.0542
0.0000 -1.6699 5.6962
2.7098 2.1922 1.6164
0.0000 5.2805 0.1773
2.7098 0.1902 5.0395
0.0000 3.6689 2.9038
2.7098 0.0000 0.0000
```

Uncorrected energy in eV per atom: -4.36
SG: C2/m (12)
Calculated density in g/cm³: 8.32
DOS at the Fermi energy in states/eV per cell: 9.65
Formation energy from the elements in eV per atom: -0.1504

=====

[7]
KPRhO2: relaxed, PBE-GGA.

Cell and atoms, written as POSCAR:
```
KPRhO2
1.0
3.9848 0.0000 0.0000
0.0000 3.9848 0.0000
0.0000 0.0000 6.3995
P K Rh O
1 1 1 2
Cartesian
0.0000 0.0000 3.1997
0.0000 0.0000 0.0000
1.9924 1.9924 3.1997
0.0000 1.9924 0.0000
1.9924 0.0000 0.0000
```

Energy above the most stable polymorph in this dataset in eV per atom: 1.6849
Uncorrected energy in eV per atom: -3.19
SG: P4/mmm (123)
ΔE_f (raw) in eV/f.u.: 7.85
Calculated density in g/cm³: 3.35
DOS at the Fermi energy in states/eV per cell: 3.91

=====

[8]
TiAlI3: relaxed, PBE-GGA.

Cell and atoms, written as POSCAR:
```
TiAlI3
1.0
5.6763 0.0000 0.0000
0.0000 5.6763 0.0000
0.0000 0.0000 5.6763
I Al Ti
3 1 1
Cartesian
0.0000 2.8381 0.0000
0.0000 0.0000 2.8381
2.8381 0.0000 0.0000
2.8381 2.8381 2.8381
0.0000 0.0000 0.0000
```

Energy above the most stable polymorph in this dataset in eV per atom: 0.0000
Uncorrected energy in eV per atom: -3.39
SG: Pm-3m (221)
ΔE_f (raw) in eV/f.u.: -0.68
Calculated density in g/cm³: 4.14
DOS at the Fermi energy in states/eV per cell: 9.76

=====

[9]
Cu2PPt: relaxed, PBE-GGA.

Cell and atoms, written as POSCAR:
```
Cu2PPt
1.0
-0.7490 -1.9046 2.0815
-0.1110 -2.6963 -2.5070
4.8104 -0.9765 0.8373
Cu P Pt
2 1 1
Cartesian
0.0381 -0.0077 0.0066
2.3671 -0.4805 0.4120
0.7726 -2.5445 -0.0034
3.1778 -3.0328 0.4153
```

Energy above the most stable polymorph in this dataset in eV per atom: 0.0600
Uncorrected energy in eV per atom: -4.94
SG: Pmmm (47)
Calculated density in g/cm³: 10.95
DOS at the Fermi energy in states/eV per cell: 1.68
Formation energy from the elements in eV per atom: -0.0324

=====

[10]
PmYCd17: relaxed, PBE-GGA.

Cell and atoms, written as POSCAR:
```
PmYCd17
1.0
7.6025 0.0715 0.9769
0.8684 7.5531 0.9769
0.0794 0.0715 7.6646
Pm Y Cd
1 1 17
Cartesian
5.7144 5.1435 6.4282
2.7798 2.5020 3.1270
2.3497 0.0847 5.6240
5.5465 2.3278 0.9874
0.6412 5.2718 2.9924
2.8967 5.2718 0.9874
0.3307 2.3278 5.6240
5.3100 0.0847 2.9924
3.4097 6.6505 3.8356
2.9924 2.6934 7.3729
6.9715 2.6934 3.8356
4.9711 1.6533 5.5921
5.2998 4.7703 2.8058
2.1655 4.7703 5.5921
7.9701 4.0983 8.9657
8.3285 7.4964 5.9283
4.9116 7.4964 8.9657
7.7568 6.9818 8.7257
0.8825 0.7943 0.9928
```

Uncorrected energy in eV per atom: -1.54
SG: R3m (160)
Calculated density in g/cm³: 8.12
DOS at the Fermi energy in states/eV per cell: 5.09
Formation energy from the elements in eV per atom: -0.1297

=====

[11]
Os2RhSe: relaxed, PBE-GGA.

Cell and atoms, written as POSCAR:
```
Os2RhSe
1.0
2.8859 0.0000 0.0000
0.0000 2.8859 0.0000
0.0000 0.0000 7.1164
Os Rh Se
2 1 1
Cartesian
0.0000 0.0000 7.0687
0.0000 0.0000 3.6060
1.4429 1.4429 1.7791
1.4429 1.4429 5.3373
```

Uncorrected energy in eV per atom: -7.69
SG: P4/mmm (123)
ΔE_f (raw) in eV/f.u.: 2.53
Calculated density in g/cm³: 15.76
DOS at the Fermi energy in states/eV per cell: 3.68

=====

[12]
Hg2PCl: relaxed, PBE-GGA.

Cell and atoms, written as POSCAR:
```
Hg2PCl
1.0
6.0794 0.0000 0.0000
0.0000 6.0794 0.0000
3.0397 3.0397 6.5071
P Hg Cl
2 4 2
Cartesian
3.0397 3.0397 0.0000
3.0397 6.0794 3.2536
4.0826 1.5198 1.6268
1.9968 4.5595 1.6268
4.5595 5.0364 4.8803
7.5992 7.1223 4.8803
0.0000 0.0000 0.0000
6.0794 3.0397 3.2536
```

Energy above the most stable polymorph in this dataset in eV per atom: 0.0678
Uncorrected energy in eV per atom: -2.15
SG: I-42d (122)
ΔE_f (raw) in eV/f.u.: -0.75
Calculated density in g/cm³: 6.46
DOS at the Fermi energy in states/eV per cell: 0.00

=====

Question: Among the records above, which one has the lowest DOS at the Fermi energy?
Answer: Hg2PCl